Compound: KTl3Pd3
Source: the Alexandria database
Functional: PBE-GGA
Structure: relaxed

relative energy among the computed polymorphs = 7 meV/atom
DFT formation energy = -0.124 eV/atom

Unit cell a=9.2864 b=9.2864 c=4.6741 alpha=90.00 beta=90.00 gamma=120.00
Closest atoms and distances in Å follow each position.
Space group P6_3/m (No. 176)
Symmetry-distinct sites (fractional):
K 0.3333 0.6667 0.2500 (multiplicity 2)  9 Tl 3.43-3.53
Tl 0.0717 0.6835 0.7500 (multiplicity 6)  4 Pd 2.87-2.88
Pd 0.0364 0.8429 0.2500 (multiplicity 6)  6 Pd 2.86, 4 Tl 2.87-2.88